# Tm8AgRh2, relaxed, DFT PBE
# Formation enthalpy at 0 K, eV per atom: -0.35
data_Tm8AgRh2
_chemical_formula_sum 'Tm16 Ag2 Rh4'
_cell_length_a 8.440
_cell_length_b 12.861
_cell_length_c 5.481
_cell_angle_alpha 90.00
_cell_angle_beta 105.27
_cell_angle_gamma 90.00
_space_group_name_H-M_alt 'C 1 2/m 1'
_space_group_IT_number 12
_space_group_name_Hall '-C 2y'
loop_
_atom_site_label
_atom_site_type_symbol
_atom_site_fract_x
_atom_site_fract_y
_atom_site_fract_z
Tm1 Tm 0.000 0.239 0.000
Tm2 Tm 0.121 0.500 0.810
Tm3 Tm 0.203 0.128 0.588
Ag1 Ag 0.000 0.000 0.000
Rh1 Rh 0.000 0.306 0.500